1.
Compound: LiPmMgCo
Source: Alexandria
Functional: PBE
Structure: optimized geometry

## Properties
DFT formation energy in eV per atom: 0.050
Spin magnetization in μB/f.u.: 0.00

a b c (Å): 6.731 6.731 6.731
angles (deg): 90.00 90.00 90.00
Space group F-43m (No. 216)
One atom of each set of equivalent atoms:
Li (0.000, 0.000, 0.000) [4 per cell]
Pm (0.250, 0.250, 0.250) [4 per cell]
Mg (0.250, 0.250, 0.750) [4 per cell]
Co (0.000, 0.000, 0.500) [4 per cell]

***

2.
Compound: LiMg2CoPt
Source: Alexandria
Functional: PBE
Structure: optimized geometry

## Properties
DFT formation energy in eV per atom: 0.452
Spin magnetization in μB/f.u.: 0.06

a b c (Å): 4.447 4.447 3.851
angles (deg): 90.00 90.00 90.00
Space group P4/mmm (No. 123)
One atom of each set of equivalent atoms:
Li (0.000, 0.000, 0.000) [1 per cell]
Mg (0.000, 0.500, 0.000) [2 per cell]
Co (0.000, 0.000, 0.500) [1 per cell]
Pt (0.500, 0.500, 0.500) [1 per cell]

***

3.
Compound: LiMg2CoRe
Source: Alexandria
Functional: PBE
Structure: optimized geometry

## Properties
DFT formation energy in eV per atom: 1.175
Spin magnetization in μB/f.u.: 1.92

a b c (Å): 4.252 4.252 4.406
angles (deg): 90.00 90.00 90.00
Space group P4/mmm (No. 123)
One atom of each set of equivalent atoms:
Li (0.000, 0.000, 0.000) [1 per cell]
Mg (0.000, 0.500, 0.000) [2 per cell]
Co (0.500, 0.500, 0.500) [1 per cell]
Re (0.000, 0.000, 0.500) [1 per cell]